Record 1
# LaIn2Co

A relaxed LaIn2Co crystal (PBE, the Alexandria database).

**Space-group type**: I-4m2 (119)
**Energy of formation**: -0.012 eV per atom
**V**: 22.93 A^3/atom

Cell: 5.067 5.067 5.067 Å, 120.19 120.19 89.67°
Fractional coordinates of all 4 atoms:
1 La 0.000 0.000 0.000
2 In 0.500 0.500 0.000
3 In 0.750 0.250 0.500
4 Co 0.250 0.750 0.500

***

Record 2
# SiAgPd4

A relaxed SiAgPd4 crystal (PBE, the Alexandria database).

**Space-group type**: C2/c (15)
**ΔE_f (raw)**: -0.25 eV/atom
**V**: 16.31 A^3/atom

Cell: 7.436 7.436 5.565 Å, 101.29 101.29 40.57°
Fractional coordinates of all 12 atoms:
1 Si 0.000 0.500 0.000
2 Si 0.500 0.000 0.500
3 Ag 0.094 0.906 0.750
4 Ag 0.906 0.094 0.250
5 Pd 0.051 0.302 0.598
6 Pd 0.302 0.051 0.098
7 Pd 0.317 0.508 0.065
8 Pd 0.492 0.683 0.435
9 Pd 0.508 0.317 0.565
10 Pd 0.683 0.492 0.935
11 Pd 0.698 0.949 0.902
12 Pd 0.949 0.698 0.402

***

Record 3
# Tl4Cl3O

A relaxed Tl4Cl3O crystal (PBE, the Alexandria database).

**Space-group type**: Pmn2_1 (31)
**ΔE_f (raw)**: -0.78 eV/atom
**V**: 31.06 A^3/atom

Cell: 12.214 6.731 6.046 Å, 90.00 90.00 90.00°
Fractional coordinates of all 16 atoms:
1 Tl 0.000 0.189 0.000
2 Tl 0.000 0.808 0.542
3 Tl 0.189 0.724 0.035
4 Tl 0.311 0.276 0.535
5 Tl 0.500 0.192 0.042
6 Tl 0.500 0.811 0.500
7 Tl 0.689 0.276 0.535
8 Tl 0.811 0.724 0.035
9 Cl 0.000 0.280 0.521
10 Cl 0.239 0.195 0.044
11 Cl 0.261 0.805 0.544
12 Cl 0.500 0.720 0.021
13 Cl 0.739 0.805 0.544
14 Cl 0.761 0.195 0.044
15 O 0.000 0.865 0.934
16 O 0.500 0.135 0.434

***

Record 4
# CdReNi2

A relaxed CdReNi2 crystal (PBE, the Alexandria database).

**Space-group type**: Imm2 (44)
**Energy of formation**: 0.314 eV per atom
**V**: 14.13 A^3/atom

Cell: 5.373 5.373 5.373 Å, 151.02 130.77 58.14°
Fractional coordinates of all 4 atoms:
1 Cd 0.000 0.000 0.000
2 Re 0.717 0.217 0.500
3 Ni 0.267 0.767 0.500
4 Ni 0.492 0.492 0.000

***

Number 1: DFT total energy -17.56 eV per cell. Number 2: DFT total energy -61.14 eV per cell. Number 3: DFT total energy -52.33 eV per cell. Number 4: DFT total energy -23.67 eV per cell.